Record 1
# TaSi2Ir | the Alexandria database | GGA-PBEsol | relaxed
data_TaSi2Ir
_symmetry_space_group_name_H-M 'P 1'
_symmetry_Int_Tables_number 1
_cell_length_a 2.864
_cell_length_b 3.880
_cell_length_c 5.243
_cell_angle_alpha 90.00
_cell_angle_beta 90.00
_cell_angle_gamma 90.00
loop_
_symmetry_equiv_pos_as_xyz
'x,y,z'
loop_
_atom_site_label
_atom_site_fract_x
_atom_site_fract_y
_atom_site_fract_z
Ir1 0.000 0.500 0.000
Si1 0.000 0.000 0.260
Si2 0.000 0.000 0.740
Ta1 0.500 0.500 0.500
# ΔE_f (raw) ... -11.91 kcal/mol of atoms
# Space group ... Pmmm

***

Record 2
# ScAl4Cd | the Alexandria database | GGA-PBEsol | relaxed
data_ScAl4Cd
_symmetry_space_group_name_H-M 'P 1'
_symmetry_Int_Tables_number 1
_cell_length_a 5.378
_cell_length_b 5.378
_cell_length_c 5.378
_cell_angle_alpha 60.00
_cell_angle_beta 60.00
_cell_angle_gamma 60.00
loop_
_symmetry_equiv_pos_as_xyz
'x,y,z'
loop_
_atom_site_label
_atom_site_fract_x
_atom_site_fract_y
_atom_site_fract_z
Sc1 0.000 0.000 0.000
Al1 0.375 0.375 0.375
Al2 0.375 0.375 0.876
Al3 0.876 0.375 0.375
Al4 0.375 0.876 0.375
Cd1 0.750 0.750 0.750
# Space group ... F-43m
# Uncorrected energy ... -24.84 eV per cell

***

Record 3
# FeAg2Sn3S8 | the Alexandria database | GGA-PBEsol | relaxed
data_FeAg2Sn3S8
_symmetry_space_group_name_H-M 'P 1'
_symmetry_Int_Tables_number 1
_cell_length_a 7.339
_cell_length_b 7.339
_cell_length_c 7.339
_cell_angle_alpha 60.77
_cell_angle_beta 60.77
_cell_angle_gamma 60.77
loop_
_symmetry_equiv_pos_as_xyz
'x,y,z'
loop_
_atom_site_label
_atom_site_fract_x
_atom_site_fract_y
_atom_site_fract_z
Fe1 0.000 0.000 0.000
Ag1 0.387 0.387 0.387
Ag2 0.613 0.613 0.613
Sn1 0.000 0.500 0.000
Sn2 0.000 0.000 0.500
Sn3 0.500 0.000 0.000
S1 0.780 0.210 0.780
S2 0.752 0.752 0.752
S3 0.790 0.220 0.220
S4 0.220 0.220 0.790
S5 0.220 0.790 0.220
S6 0.248 0.248 0.248
S7 0.210 0.780 0.780
S8 0.780 0.780 0.210
# ΔE_f (raw) ... -9.33 kcal/mol of atoms
# Space group ... R-3m

***

Record 4
# Sc2Ga2Pd | the Alexandria database | GGA-PBEsol | relaxed
data_Sc2Ga2Pd
_symmetry_space_group_name_H-M 'P 1'
_symmetry_Int_Tables_number 1
_cell_length_a 3.992
_cell_length_b 6.630
_cell_length_c 6.630
_cell_angle_alpha 90.00
_cell_angle_beta 90.00
_cell_angle_gamma 90.00
loop_
_symmetry_equiv_pos_as_xyz
'x,y,z'
loop_
_atom_site_label
_atom_site_fract_x
_atom_site_fract_y
_atom_site_fract_z
Sc1 0.500 0.169 0.669
Sc2 0.500 0.669 0.831
Sc3 0.500 0.831 0.331
Sc4 0.500 0.331 0.169
Ga1 0.000 0.366 0.866
Ga2 0.000 0.866 0.634
Ga3 0.000 0.634 0.134
Ga4 0.000 0.134 0.366
Pd1 0.000 0.000 0.000
Pd2 0.000 0.500 0.500
# Space group ... P4/mbm
# Uncorrected energy ... -59.54 eV per cell

***

Record 5
# Sr4Tl | the Alexandria database | GGA-PBEsol | relaxed
data_Sr4Tl
_symmetry_space_group_name_H-M 'P 1'
_symmetry_Int_Tables_number 1
_cell_length_a 6.774
_cell_length_b 6.774
_cell_length_c 6.774
_cell_angle_alpha 109.47
_cell_angle_beta 109.47
_cell_angle_gamma 109.47
loop_
_symmetry_equiv_pos_as_xyz
'x,y,z'
loop_
_atom_site_label
_atom_site_fract_x
_atom_site_fract_y
_atom_site_fract_z
Sr1 0.000 0.000 0.500
Sr2 0.000 0.500 0.000
Sr3 0.500 0.000 0.000
Sr4 0.500 0.500 0.500
Tl1 0.000 0.000 0.000
# Space group ... Im-3m
# Uncorrected energy ... -9.98 eV per cell

***

Record 6
# S2OF | the Alexandria database | GGA-PBEsol | relaxed
data_S2OF
_symmetry_space_group_name_H-M 'P 1'
_symmetry_Int_Tables_number 1
_cell_length_a 2.776
_cell_length_b 2.776
_cell_length_c 7.252
_cell_angle_alpha 78.96
_cell_angle_beta 78.96
_cell_angle_gamma 60.00
loop_
_symmetry_equiv_pos_as_xyz
'x,y,z'
loop_
_atom_site_label
_atom_site_fract_x
_atom_site_fract_y
_atom_site_fract_z
S1 0.923 0.923 0.231
S2 0.077 0.077 0.769
O1 0.000 0.000 0.000
F1 0.500 0.500 0.500
# ΔE_f (raw) ... -2.73 kcal/mol of atoms
# Space group ... R-3m
# Distance to the lowest polymorph of the same formula ... 0 kJ/mol of formula units

***

Record 7
# Te6Mo3WS2 | the Alexandria database | GGA-PBEsol | relaxed
data_Te6Mo3WS2
_symmetry_space_group_name_H-M 'P 1'
_symmetry_Int_Tables_number 1
_cell_length_a 3.395
_cell_length_b 3.395
_cell_length_c 27.183
_cell_angle_alpha 90.00
_cell_angle_beta 90.00
_cell_angle_gamma 120.00
loop_
_symmetry_equiv_pos_as_xyz
'x,y,z'
loop_
_atom_site_label
_atom_site_fract_x
_atom_site_fract_y
_atom_site_fract_z
Te1 0.333 0.667 0.691
Te2 0.333 0.667 0.171
Te3 0.000 0.000 0.567
Te4 0.000 0.000 0.431
Te5 0.333 0.667 0.828
Te6 0.333 0.667 0.307
Mo1 0.333 0.667 0.000
Mo2 0.333 0.667 0.499
Mo3 0.000 0.000 0.239
W1 0.000 0.000 0.760
S1 0.000 0.000 0.054
S2 0.000 0.000 0.945
# ΔE_f (raw) ... -8.03 kcal/mol of atoms
# Space group ... P3m1

***

Record 8
# CaPrCd2 | the Alexandria database | GGA-PBEsol | relaxed
data_CaPrCd2
_symmetry_space_group_name_H-M 'P 1'
_symmetry_Int_Tables_number 1
_cell_length_a 5.347
_cell_length_b 5.347
_cell_length_c 5.347
_cell_angle_alpha 60.00
_cell_angle_beta 60.00
_cell_angle_gamma 60.00
loop_
_symmetry_equiv_pos_as_xyz
'x,y,z'
loop_
_atom_site_label
_atom_site_fract_x
_atom_site_fract_y
_atom_site_fract_z
Pr1 0.000 0.000 0.000
Ca1 0.500 0.500 0.500
Cd1 0.750 0.750 0.750
Cd2 0.250 0.250 0.250
# Space group ... Fm-3m
# Uncorrected energy ... -11.21 eV per cell

***

Record 9
# TlCd3Pd | the Alexandria database | GGA-PBEsol | relaxed
data_TlCd3Pd
_symmetry_space_group_name_H-M 'P 1'
_symmetry_Int_Tables_number 1
_cell_length_a 5.235
_cell_length_b 5.235
_cell_length_c 5.235
_cell_angle_alpha 90.00
_cell_angle_beta 90.00
_cell_angle_gamma 90.00
loop_
_symmetry_equiv_pos_as_xyz
'x,y,z'
loop_
_atom_site_label
_atom_site_fract_x
_atom_site_fract_y
_atom_site_fract_z
Tl1 0.000 0.000 0.000
Pd1 0.500 0.500 0.500
Cd1 0.000 0.500 0.000
Cd2 0.000 0.000 0.500
Cd3 0.500 0.000 0.000
# Space group ... Pm-3m
# Uncorrected energy ... -7.78 eV per cell

***

Record 10
# AlRh2Au | the Alexandria database | GGA-PBEsol | relaxed
data_AlRh2Au
_symmetry_space_group_name_H-M 'P 1'
_symmetry_Int_Tables_number 1
_cell_length_a 3.884
_cell_length_b 3.884
_cell_length_c 4.697
_cell_angle_alpha 114.42
_cell_angle_beta 114.42
_cell_angle_gamma 90.00
loop_
_symmetry_equiv_pos_as_xyz
'x,y,z'
loop_
_atom_site_label
_atom_site_fract_x
_atom_site_fract_y
_atom_site_fract_z
Rh1 0.000 0.000 0.000
Rh2 0.750 0.250 0.500
Au1 0.250 0.750 0.500
Al1 0.500 0.500 0.000
# Space group ... I-4m2
# Uncorrected energy ... -25.55 eV per cell

***

Record 11
# KNb3Au | the Alexandria database | GGA-PBEsol | relaxed
data_KNb3Au
_symmetry_space_group_name_H-M 'P 1'
_symmetry_Int_Tables_number 1
_cell_length_a 5.068
_cell_length_b 5.068
_cell_length_c 5.068
_cell_angle_alpha 90.00
_cell_angle_beta 90.00
_cell_angle_gamma 90.00
loop_
_symmetry_equiv_pos_as_xyz
'x,y,z'
loop_
_atom_site_label
_atom_site_fract_x
_atom_site_fract_y
_atom_site_fract_z
Nb1 0.000 0.500 0.000
Nb2 0.000 0.000 0.500
Nb3 0.500 0.000 0.000
Au1 0.000 0.000 0.000
K1 0.500 0.500 0.500
# Space group ... Pm-3m
# Uncorrected energy ... -28.81 eV per cell

***

Record 12
# CaFe3O5 | the Alexandria database | GGA-PBEsol | relaxed
data_CaFe3O5
_symmetry_space_group_name_H-M 'P 1'
_symmetry_Int_Tables_number 1
_cell_length_a 3.018
_cell_length_b 4.951
_cell_length_c 12.506
_cell_angle_alpha 90.00
_cell_angle_beta 90.00
_cell_angle_gamma 107.74
loop_
_symmetry_equiv_pos_as_xyz
'x,y,z'
loop_
_atom_site_label
_atom_site_fract_x
_atom_site_fract_y
_atom_site_fract_z
O1 0.901 0.801 0.369
O2 0.099 0.199 0.631
O3 0.099 0.199 0.869
O4 0.901 0.801 0.131
O5 0.621 0.242 0.047
O6 0.379 0.758 0.953
O7 0.379 0.758 0.547
O8 0.621 0.242 0.453
O9 0.192 0.384 0.250
O10 0.808 0.616 0.750
Ca1 0.512 0.024 0.250
Ca2 0.488 0.976 0.750
Fe1 0.000 0.000 0.500
Fe2 0.259 0.519 0.105
Fe3 0.741 0.481 0.895
Fe4 0.000 0.000 0.000
Fe5 0.741 0.481 0.605
Fe6 0.259 0.519 0.395
# ΔE_f (raw) ... -35.56 kcal/mol of atoms
# Space group ... Cmcm